# 1
Be9NbOs2: relaxed, PBE.

POSCAR file:
```
Be9NbOs2
1.0
4.198 0.000 1.249
1.913 3.737 1.249
0.098 0.060 7.348
Nb Be Os
1 9 2
Direct
0.000 0.000 0.000 Nb
0.666 0.666 0.001 Be
0.587 0.587 0.746 Be
0.587 0.080 0.746 Be
0.413 0.413 0.254 Be
0.413 0.920 0.254 Be
0.920 0.413 0.254 Be
0.334 0.334 0.999 Be
0.500 0.500 0.500 Be
0.080 0.587 0.746 Be
0.857 0.857 0.428 Os
0.143 0.143 0.572 Os
```

N(E_F) in states/eV/f.u.: 5.39
DFT formation energy in eV/atom: -0.264
E_tot in hartree per atom: -0.21202



# 2
Be2NbOs: relaxed, PBE.

POSCAR file:
```
Be2NbOs
1.0
-1.385 1.047 2.678
0.825 -6.008 2.776
8.274 2.636 3.246
Be Os Nb
8 4 4
Direct
0.750 0.748 0.440 Be
0.750 0.352 0.675 Be
0.250 0.752 0.940 Be
0.750 0.852 0.825 Be
0.750 0.248 0.060 Be
0.250 0.648 0.325 Be
0.250 0.252 0.560 Be
0.250 0.148 0.175 Be
0.750 0.014 0.614 Os
0.250 0.986 0.386 Os
0.750 0.514 0.886 Os
0.250 0.486 0.114 Os
0.750 0.344 0.360 Nb
0.750 0.844 0.140 Nb
0.250 0.156 0.860 Nb
0.250 0.656 0.640 Nb
```

N(E_F) in states/eV/f.u.: 1.40
E above lowest polymorph in meV/atom: 0
DFT formation energy in eV/atom: -0.168
E_tot in hartree per atom: -0.27031



# 3
BeNbOs2: relaxed, PBE.

POSCAR file:
```
BeNbOs2
1.0
3.191 0.000 0.000
0.000 4.213 0.000
0.000 0.000 4.213
Be Os Nb
1 2 1
Direct
0.500 0.000 0.000 Be
0.000 0.000 0.500 Os
0.000 0.500 0.000 Os
0.500 0.500 0.500 Nb
```

N(E_F) in states/eV/f.u.: 2.13
DFT formation energy in eV/atom: -0.056
E_tot in hartree per atom: -0.33516



# 4
BeNbOs3: relaxed, PBE.

POSCAR file:
```
BeNbOs3
1.0
4.734 0.000 0.000
0.000 4.734 0.000
0.000 0.000 4.734
Be Os Nb
1 3 1
Direct
0.500 0.500 0.500 Be
0.000 0.000 0.500 Os
0.000 0.500 0.000 Os
0.500 0.000 0.000 Os
0.000 0.000 0.000 Nb
```

N(E_F) in states/eV/f.u.: 6.43
E above lowest polymorph in meV/atom: 2365
DFT formation energy in eV/atom: 2.577
E_tot in hartree per atom: -0.25432



# 5
BeNbOs2: relaxed, PBE.

POSCAR file:
```
BeNbOs2
1.0
-2.319 -1.644 -1.189
1.660 -0.500 -2.547
2.227 -4.886 2.411
Nb Os Be
1 2 1
Direct
0.500 0.500 0.500 Nb
0.000 0.000 0.225 Os
0.000 0.000 0.775 Os
0.500 0.500 0.000 Be
```

N(E_F) in states/eV/f.u.: 2.62
DFT formation energy in eV/atom: -0.160
E_tot in hartree per atom: -0.33897



# 6
Be9Nb2Os: relaxed, PBE.

POSCAR file:
```
Be9Nb2Os
1.0
4.468 0.000 0.000
2.234 3.869 0.000
2.234 1.290 6.978
Os Be Nb
1 9 2
Direct
0.000 0.000 0.000 Os
0.581 0.581 0.760 Be
0.665 0.665 0.004 Be
0.079 0.581 0.760 Be
0.921 0.419 0.240 Be
0.419 0.921 0.240 Be
0.419 0.419 0.240 Be
0.335 0.335 0.996 Be
0.500 0.500 0.500 Be
0.581 0.079 0.760 Be
0.143 0.143 0.572 Nb
0.857 0.857 0.428 Nb
```

N(E_F) in states/eV/f.u.: 4.58
DFT formation energy in eV/atom: -0.193
E_tot in hartree per atom: -0.20587



# 7
BeNbOs3: relaxed, PBE.

POSCAR file:
```
BeNbOs3
1.0
-2.303 2.404 -2.448
-3.431 -1.656 1.602
-0.049 2.925 2.918
Be Os Nb
1 3 1
Direct
0.000 0.000 0.000 Be
0.000 0.000 0.500 Os
0.000 0.500 0.000 Os
0.500 0.000 0.000 Os
0.500 0.500 0.500 Nb
```

N(E_F) in states/eV/f.u.: 2.31
E above lowest polymorph in meV/atom: 0
DFT formation energy in eV/atom: 0.212
E_tot in hartree per atom: -0.34124



# 8
Be8NbOs3: relaxed, PBE.

POSCAR file:
```
Be8NbOs3
1.0
-2.089 -3.848 0.470
2.908 1.311 3.035
-5.281 3.310 3.631
Be Os Nb
8 3 1
Direct
0.994 0.497 0.761 Be
0.165 0.835 0.240 Be
0.165 0.331 0.240 Be
0.503 0.006 0.761 Be
0.333 0.667 0.494 Be
0.669 0.835 0.240 Be
0.503 0.497 0.761 Be
0.333 0.667 0.002 Be
0.667 0.333 0.062 Os
0.667 0.333 0.443 Os
0.000 0.000 0.932 Os
0.000 0.000 0.562 Nb
```

N(E_F) in states/eV/f.u.: 5.22
DFT formation energy in eV/atom: -0.364
E_tot in hartree per atom: -0.23868



# 9
BeNbOs2: relaxed, PBE.

POSCAR file:
```
BeNbOs2
1.0
4.440 -1.772 -2.965
-1.427 4.563 2.965
-3.004 0.222 4.751
Os Be Nb
2 1 1
Direct
0.000 0.207 0.207 Os
0.000 0.793 0.793 Os
0.000 0.000 0.000 Be
0.000 0.500 0.500 Nb
```

N(E_F) in states/eV/f.u.: 2.64
DFT formation energy in eV/atom: 0.211
E_tot in hartree per atom: -0.32532



# 10
Be2NbOs: relaxed, PBE.

POSCAR file:
```
Be2NbOs
1.0
0.645 2.268 3.339
2.268 3.392 -0.240
-1.767 3.669 0.351
Be Os Nb
2 1 1
Direct
0.250 0.250 0.250 Be
0.750 0.750 0.750 Be
0.500 0.500 0.500 Os
0.000 0.000 0.000 Nb
```

N(E_F) in states/eV/f.u.: 1.30
E above lowest polymorph in meV/atom: 50
DFT formation energy in eV/atom: -0.117
E_tot in hartree per atom: -0.26846



# 11
BeNbOs2: relaxed, PBE.

POSCAR file:
```
BeNbOs2
1.0
6.873 0.000 0.000
0.000 6.873 0.000
3.436 3.436 2.453
Os Nb Be
4 2 2
Direct
0.202 0.625 0.250 Os
0.375 0.452 0.750 Os
0.548 0.125 0.250 Os
0.875 0.798 0.750 Os
0.000 0.000 0.000 Nb
0.750 0.250 0.500 Nb
0.250 0.750 0.500 Be
0.500 0.500 0.000 Be
```

N(E_F) in states/eV/f.u.: 5.55
DFT formation energy in eV/atom: 0.369
E_tot in hartree per atom: -0.31953



# 12
BeNb3Os: relaxed, PBE.

POSCAR file:
```
BeNb3Os
1.0
4.838 0.000 0.000
0.000 4.838 0.000
0.000 0.000 4.838
Nb Be Os
3 1 1
Direct
0.000 0.000 0.500 Nb
0.000 0.500 0.000 Nb
0.500 0.000 0.000 Nb
0.500 0.500 0.500 Be
0.000 0.000 0.000 Os
```

N(E_F) in states/eV/f.u.: 4.12
E above lowest polymorph in meV/atom: 681
DFT formation energy in eV/atom: 1.347
E_tot in hartree per atom: -0.28244